The following is a DFT calculation (PBE-GGA) of a relaxed structure of Er3As4Rh7.

The space group is C2/m (No. 12) and the conventional cell measures 15.276, 4.037 and 9.340 Å, with angles of 90.00, 124.49 and 90.00 degrees. The inequivalent atoms are Er at (0.000, 0.000, 0.000), Er at (0.167, 0.500, 0.661), As at (0.109, 0.000, 0.830), As at (0.167, 0.500, 0.269), Rh at (0.000, 0.000, 0.500), Rh at (0.009, 0.500, 0.280), Rh at (0.167, 0.000, 0.426) and Rh at (0.198, 0.500, 0.040).

The volume comes out at 16.96 Å³/atom. The calculation puts the total DFT energy (no corrections) at -6.90 eV/atom. For the magnetization, the calculation gives 0.0 μB/cell. The value obtained for the calculated formation energy is -0.9229 eV/atom.

The following is a DFT calculation (PBE-GGA) of a relaxed structure of ErAsRh2.

The space group is Pmmn (No. 59, origin choice 2) and the conventional cell measures 4.277, 5.724 and 5.857 Å, with angles of 90.00, 90.00 and 90.00 degrees. The inequivalent atoms are Er at (0.250, 0.250, 0.120), As at (0.250, 0.750, 0.310) and Rh at (0.250, 0.012, 0.656).

The volume comes out at 17.92 Å³/atom. The calculation puts the total DFT energy (no corrections) at -6.78 eV/atom. For the magnetization, the calculation gives 0.0 μB/cell. The value obtained for the calculated formation energy is -0.7982 eV/atom.

The following is a DFT calculation (PBE-GGA) of a relaxed structure of Er2AsRh3.

The space group is R-3m (No. 166, hexagonal axes) and the conventional cell measures 5.5660, 5.5660 and 11.8538 Å, with angles of 90.00, 90.00 and 120.00 degrees. The inequivalent atoms are Er at (0.0000, 0.0000, 0.1284), As at (0.0000, 0.0000, 0.5000) and Rh at (0.0000, 0.5000, 0.0000).

The volume comes out at 17.67 Å³/atom. The calculation puts the total DFT energy (no corrections) at -6.89 eV/atom. For the magnetization, the calculation gives 0.0 μB/cell. The value obtained for the calculated formation energy is -0.9196 eV/atom.

The following is a DFT calculation (PBE-GGA) of a relaxed structure of ErScAs2Rh5.

The space group is P4/mmm (No. 123) and the conventional cell measures 4.186, 4.186 and 8.705 Å, with angles of 90.00, 90.00 and 90.00 degrees. The inequivalent atoms are Er at (0.000, 0.000, 0.000), Sc at (0.000, 0.000, 0.500), As at (0.500, 0.500, 0.359), Rh at (0.000, 0.500, 0.234) and Rh at (0.500, 0.500, 0.000).

The volume comes out at 16.95 Å³/atom. The calculation puts the total DFT energy (no corrections) at -7.05 eV/atom. For the magnetization, the calculation gives 0.0 μB/cell. The value obtained for the calculated formation energy is -0.7206 eV/atom.

The following is a DFT calculation (PBE-GGA) of a relaxed structure of Sm2ErAs3Rh12.

The space group is R-3m (No. 166, hexagonal axes) and the conventional cell measures 9.1169, 9.1169 and 12.9805 Å, with angles of 90.00, 90.00 and 120.00 degrees. The inequivalent atoms are Sm at (0.0000, 0.0000, 0.1412), Er at (0.0000, 0.0000, 0.5000), As at (0.0000, 0.5000, 0.0000), Rh at (0.0048, 0.5024, 0.8175) and Rh at (0.0129, 0.5065, 0.3853).

The volume comes out at 17.30 Å³/atom. The calculation puts the total DFT energy (no corrections) at -6.77 eV/atom. For the magnetization, the calculation gives 0.0 μB/cell. The value obtained for the calculated formation energy is -0.3154 eV/atom.

The following is a DFT calculation (PBE-GGA) of a relaxed structure of SrErAs2Rh5.

The space group is P4/mmm (No. 123) and the conventional cell measures 4.083, 4.083 and 11.318 Å, with angles of 90.00, 90.00 and 90.00 degrees. The inequivalent atoms are Sr at (0.000, 0.000, 0.000), Er at (0.000, 0.000, 0.500), As at (0.500, 0.500, 0.209), Rh at (0.000, 0.500, 0.321) and Rh at (0.500, 0.500, 0.000).

The volume comes out at 20.97 Å³/atom. The calculation puts the total DFT energy (no corrections) at -6.28 eV/atom. For the magnetization, the calculation gives 0.0 μB/cell. The value obtained for the calculated formation energy is -0.4738 eV/atom.

The following is a DFT calculation (PBE-GGA) of a relaxed structure of Sr2ErAs3Rh4.

The space group is P-4m2 (No. 115) and the conventional cell measures 4.218, 4.218 and 11.250 Å, with angles of 90.00, 90.00 and 90.00 degrees. The inequivalent atoms are Sr at (0.000, 0.500, 0.234), Er at (0.000, 0.000, 0.500), As at (0.000, 0.500, 0.874), As at (0.500, 0.500, 0.500), Rh at (0.000, 0.000, 0.000), Rh at (0.000, 0.500, 0.655) and Rh at (0.500, 0.500, 0.000).

The volume comes out at 20.02 Å³/atom. The calculation puts the total DFT energy (no corrections) at -5.97 eV/atom. For the magnetization, the calculation gives 0.0 μB/cell. The value obtained for the calculated formation energy is -0.8410 eV/atom.

The following is a DFT calculation (PBE-GGA) of a relaxed structure of TbErAs2Rh5.

The space group is P4/mmm (No. 123) and the conventional cell measures 4.233, 4.233 and 8.763 Å, with angles of 90.00, 90.00 and 90.00 degrees. The inequivalent atoms are Tb at (0.000, 0.000, 0.000), Er at (0.000, 0.000, 0.500), As at (0.500, 0.500, 0.355), Rh at (0.000, 0.500, 0.234) and Rh at (0.500, 0.500, 0.000).

The volume comes out at 17.45 Å³/atom. The calculation puts the total DFT energy (no corrections) at -6.92 eV/atom. For the magnetization, the calculation gives 0.0 μB/cell. The value obtained for the calculated formation energy is -0.7855 eV/atom.